1.
10
Lattice="7.750 0.000 0.000 0.000 7.750 0.000 0.000 0.000 4.276" Properties=species:S:1:pos:R:3 comment="Li2Sb2Br, relaxed, DFT GGA-PBE" density_g_cm3=4.362 vol_a3_per_atom=25.683 space_group="No. 127" energy_ev_per_atom=-3.17 pbc="T T T"
Li 1.362 2.513 0.000
Li 2.513 6.388 0.000
Li 5.237 1.362 0.000
Li 6.388 5.237 0.000
Sb 0.932 4.806 2.138
Sb 2.943 0.932 2.138
Sb 4.806 6.818 2.138
Sb 6.818 2.943 2.138
Br 0.000 0.000 0.000
Br 3.875 3.875 0.000



2.
5
Lattice="5.095 0.000 0.000 0.000 5.095 0.000 0.000 0.000 5.095" Properties=species:S:1:pos:R:3 comment="LiSb3Br, relaxed, DFT GGA-PBE" density_g_cm3=5.678 vol_a3_per_atom=26.446 space_group="No. 221" energy_ev_per_atom=-2.86 pbc="T T T"
Li 0.000 0.000 0.000
Sb 0.000 0.000 2.547
Sb 0.000 2.547 0.000
Sb 2.547 0.000 0.000
Br 2.547 2.547 2.547



3.
3
Lattice="0.000 3.400 3.400 3.400 0.000 3.400 3.400 3.400 0.000" Properties=species:S:1:pos:R:3 comment="LiSbBr, relaxed, DFT GGA-PBE" density_g_cm3=4.406 vol_a3_per_atom=26.206 space_group="No. 216" energy_ev_per_atom=-2.60 pbc="T T T"
Li 0.000 0.000 0.000
Sb 5.100 5.100 5.100
Br 1.700 1.700 1.700



4.
12
Lattice="4.012 -8.845 0.000 4.012 8.845 0.000 -3.984 0.000 5.788" Properties=species:S:1:pos:R:3 comment="LiSbBr4, relaxed, DFT GGA-PBE" density_g_cm3=3.624 vol_a3_per_atom=34.234 space_group="No. 15" energy_ev_per_atom=-3.01 pbc="T T T"
Li 1.024 5.656 4.341
Li 3.016 -5.656 1.447
Sb 3.016 3.118 1.447
Sb 1.024 -3.118 4.341
Br -0.827 3.524 4.382
Br 1.020 1.387 1.376
Br -0.971 -1.387 4.270
Br 1.165 -3.524 1.488
Br 2.876 3.524 4.300
Br 5.012 1.387 1.518
Br 3.020 -1.387 4.412
Br 4.867 -3.524 1.406



5.
6
Lattice="0.000 4.538 4.538 4.538 0.000 4.538 4.538 4.538 0.000" Properties=species:S:1:pos:R:3 comment="LiSbBr4, relaxed, DFT GGA-PBE" density_g_cm3=3.984 vol_a3_per_atom=31.145 space_group="No. 216" energy_ev_per_atom=-1.78 pbc="T T T"
Li 0.000 0.000 0.000
Sb 6.807 6.807 6.807
Br 3.401 3.401 3.401
Br 5.674 5.674 3.401
Br 5.674 3.401 5.674
Br 3.401 5.674 5.674



6.
5
Lattice="5.329 0.000 0.000 0.000 5.329 0.000 0.000 0.000 5.712" Properties=species:S:1:pos:R:3 comment="LiSbSe2Br, relaxed, DFT GGA-PBE" density_g_cm3=3.753 vol_a3_per_atom=32.435 space_group="No. 123" energy_ev_per_atom=-3.15 pbc="T T T"
Li 0.000 0.000 0.000
Sb 2.664 2.664 2.856
Se 0.000 2.664 2.856
Se 2.664 0.000 2.856
Br 2.664 2.664 0.000



7.
12
Lattice="6.931 0.000 0.000 -3.466 6.002 0.000 0.000 0.000 8.932" Properties=species:S:1:pos:R:3 comment="SrLi2SbBr8, relaxed, DFT GGA-PBE" density_g_cm3=3.854 vol_a3_per_atom=30.968 space_group="No. 147" energy_ev_per_atom=-3.02 pbc="T T T"
Sr 0.000 0.000 0.000
Li 0.000 4.002 6.540
Li 3.466 2.001 2.393
Sb 0.000 0.000 4.466
Br -2.276 4.252 2.718
Br 0.921 1.906 2.718
Br 2.111 0.155 6.215
Br 0.000 4.002 0.032
Br 3.466 2.001 8.900
Br 1.355 5.847 2.718
Br 2.545 4.097 6.215
Br 5.741 1.750 6.215



8.
4
Lattice="3.448 0.000 0.000 -1.724 2.986 0.000 0.000 0.000 7.860" Properties=species:S:1:pos:R:3 comment="LiTcSbBr, relaxed, DFT GGA-PBE" density_g_cm3=6.293 vol_a3_per_atom=20.227 space_group="No. 156" energy_ev_per_atom=-4.67 pbc="T T T"
Li 0.000 0.000 0.000
Tc 0.000 0.000 4.082
Sb 0.000 1.990 2.334
Br 1.724 0.995 6.242



Copy entry 5 word for word.
6
Lattice="0.000 4.538 4.538 4.538 0.000 4.538 4.538 4.538 0.000" Properties=species:S:1:pos:R:3 comment="LiSbBr4, relaxed, DFT GGA-PBE" density_g_cm3=3.984 vol_a3_per_atom=31.145 space_group="No. 216" energy_ev_per_atom=-1.78 pbc="T T T"
Li 0.000 0.000 0.000
Sb 6.807 6.807 6.807
Br 3.401 3.401 3.401
Br 5.674 5.674 3.401
Br 5.674 3.401 5.674
Br 3.401 5.674 5.674